Entry 1:
# Si2Ni2W | the Alexandria database | PBE-GGA | relaxed
data_Si2Ni2W
_space_group_name_H-M_alt 'P 4/m b m'
_space_group_IT_number 127
_space_group_name_Hall '-P 4 2ab'
_cell_length_a 6.770
_cell_length_b 6.770
_cell_length_c 2.674
_cell_angle_alpha 90.00
_cell_angle_beta 90.00
_cell_angle_gamma 90.00
loop_
_atom_site_label
_atom_site_type_symbol
_atom_site_fract_x
_atom_site_fract_y
_atom_site_fract_z
_atom_site_occupancy
Si1 Si 0.148 0.352 0.000 1
Ni1 Ni 0.144 0.644 0.500 1
W1 W 0.000 0.000 0.000 1
# Formation energy (no corrections) ... -0.338 eV per atom
# ρ ... 9.7 g/cm³
# Final energy ... -0.272 Ha/atom
# Magnetization ... 0.000 μB per atom
# Fermi-level density of states ... 0.6 states/eV/f.u.

Entry 2:
# UHSI | the Alexandria database | PBE-GGA | relaxed
data_UHSI
_space_group_name_H-M_alt 'C 1 m 1'
_space_group_IT_number 8
_space_group_name_Hall 'C -2y'
_cell_length_a 6.729
_cell_length_b 3.886
_cell_length_c 7.765
_cell_angle_alpha 90.00
_cell_angle_beta 106.92
_cell_angle_gamma 90.00
loop_
_atom_site_label
_atom_site_type_symbol
_atom_site_fract_x
_atom_site_fract_y
_atom_site_fract_z
_atom_site_occupancy
U1 U 0.000 0.000 0.000 1
H1 H 0.343 0.000 0.027 1
S1 S 0.098 0.500 0.797 1
I1 I 0.268 0.500 0.302 1
# ρ ... 6.8 g/cm³
# Final energy ... -0.220 Ha/atom
# Magnetization ... 0.500 μB per atom
# Fermi-level density of states ... 4.0 states/eV/f.u.

Entry 3:
# Dy2Zn12InCu3 | the Alexandria database | PBE-GGA | relaxed
data_Dy2Zn12InCu3
_space_group_name_H-M_alt 'R -3 m'
_space_group_IT_number 166
_space_group_name_Hall '-R 3 2"'
_cell_length_a 8.3041
_cell_length_b 8.3041
_cell_length_c 19.8675
_cell_angle_alpha 90.00
_cell_angle_beta 90.00
_cell_angle_gamma 120.00
loop_
_atom_site_label
_atom_site_type_symbol
_atom_site_fract_x
_atom_site_fract_y
_atom_site_fract_z
_atom_site_occupancy
Dy1 Dy 0.0000 0.0000 0.0898 1
Zn1 Zn 0.0169 0.5085 0.3404 1
Zn2 Zn 0.1036 0.5518 0.8833 1
In1 In 0.0000 0.0000 0.5000 1
Cu1 Cu 0.0000 0.5000 0.0000 1
# ρ ... 5.9 g/cm³
# Final energy ... -0.072 Ha/atom
# Magnetization ... 0.000 μB per atom
# Fermi-level density of states ... 8.9 states/eV/f.u.
# Energy of formation from the pure elements ... 233 meV/atom

Entry 4:
# CsP2H2 | the Alexandria database | PBE-GGA | relaxed
data_CsP2H2
_space_group_name_H-M_alt 'C 1 2/m 1'
_space_group_IT_number 12
_space_group_name_Hall '-C 2y'
_cell_length_a 11.415
_cell_length_b 4.263
_cell_length_c 4.329
_cell_angle_alpha 90.00
_cell_angle_beta 93.25
_cell_angle_gamma 90.00
loop_
_atom_site_label
_atom_site_type_symbol
_atom_site_fract_x
_atom_site_fract_y
_atom_site_fract_z
_atom_site_occupancy
Cs1 Cs 0.000 0.000 0.000 1
P1 P 0.205 0.500 0.503 1
H1 H 0.211 0.500 0.835 1
# ρ ... 3.1 g/cm³
# Final energy ... -0.144 Ha/atom
# Magnetization ... 0.000 μB per atom
# Fermi-level density of states ... 0.2 states/eV/f.u.

Entry 5:
# Li2Mg4Pt | the Alexandria database | PBE-GGA | relaxed
data_Li2Mg4Pt
_space_group_name_H-M_alt 'R -3 m'
_space_group_IT_number 166
_space_group_name_Hall '-R 3 2"'
_cell_length_a 4.5678
_cell_length_b 4.5678
_cell_length_c 22.3787
_cell_angle_alpha 90.00
_cell_angle_beta 90.00
_cell_angle_gamma 120.00
loop_
_atom_site_label
_atom_site_type_symbol
_atom_site_fract_x
_atom_site_fract_y
_atom_site_fract_z
_atom_site_occupancy
Li1 Li 0.0000 0.0000 0.2413 1
Mg1 Mg 0.0000 0.0000 0.1250 1
Mg2 Mg 0.0000 0.0000 0.3747 1
Pt1 Pt 0.0000 0.0000 0.5000 1
# ρ ... 3.8 g/cm³
# Final energy ... -0.096 Ha/atom
# Magnetization ... 0.000 μB per atom
# Fermi-level density of states ... 3.2 states/eV/f.u.
# Energy of formation from the pure elements ... -289 meV/atom

Entry 6:
# Sr2TaZn | the Alexandria database | PBE-GGA | relaxed
data_Sr2TaZn
_space_group_name_H-M_alt 'C 1 2/m 1'
_space_group_IT_number 12
_space_group_name_Hall '-C 2y'
_cell_length_a 11.101
_cell_length_b 3.344
_cell_length_c 6.083
_cell_angle_alpha 90.00
_cell_angle_beta 101.15
_cell_angle_gamma 90.00
loop_
_atom_site_label
_atom_site_type_symbol
_atom_site_fract_x
_atom_site_fract_y
_atom_site_fract_z
_atom_site_occupancy
Sr1 Sr 0.241 0.000 0.249 1
Ta1 Ta 0.000 0.000 0.500 1
Zn1 Zn 0.000 0.500 0.000 1
# ρ ... 6.3 g/cm³
# Final energy ... -0.118 Ha/atom
# Magnetization ... 0.196 μB per atom
# Fermi-level density of states ... 4.4 states/eV/f.u.
# Energy of formation from the pure elements ... 904 meV/atom

Entry 7:
# Mg2PbN | the Alexandria database | PBE-GGA | relaxed
data_Mg2PbN
_space_group_name_H-M_alt 'F m -3 m'
_space_group_IT_number 225
_space_group_name_Hall '-F 4 2 3'
_cell_length_a 6.686
_cell_length_b 6.686
_cell_length_c 6.686
_cell_angle_alpha 90.00
_cell_angle_beta 90.00
_cell_angle_gamma 90.00
loop_
_atom_site_label
_atom_site_type_symbol
_atom_site_fract_x
_atom_site_fract_y
_atom_site_fract_z
_atom_site_occupancy
Mg1 Mg 0.250 0.250 0.250 1
Pb1 Pb 0.000 0.000 0.000 1
N1 N 0.000 0.000 0.500 1
# Formation energy (no corrections) ... 0.782 eV per atom
# ρ ... 6.0 g/cm³
# Final energy ... -0.111 Ha/atom
# Magnetization ... 0.000 μB per atom
# Fermi-level density of states ... 3.4 states/eV/f.u.

Entry 8:
# LaScTaO6 | the Alexandria database | PBE-GGA | relaxed
data_LaScTaO6
_space_group_name_H-M_alt 'P 3 1 2'
_space_group_IT_number 149
_space_group_name_Hall 'P 3 2'
_cell_length_a 5.4491
_cell_length_b 5.4491
_cell_length_c 5.0820
_cell_angle_alpha 90.00
_cell_angle_beta 90.00
_cell_angle_gamma 120.00
loop_
_atom_site_label
_atom_site_type_symbol
_atom_site_fract_x
_atom_site_fract_y
_atom_site_fract_z
_atom_site_occupancy
La1 La 0.0000 0.0000 0.0000 1
Sc1 Sc 0.3333 0.6667 0.5000 1
Ta1 Ta 0.6667 0.3333 0.5000 1
O1 O 0.3710 0.0155 0.7166 1
# Formation energy (no corrections) ... -3.002 eV per atom
# ρ ... 5.9 g/cm³
# Final energy ... -0.326 Ha/atom
# Magnetization ... 0.118 μB per atom
# Fermi-level density of states ... 6.7 states/eV/f.u.

Entry 9:
# LiTl3Ag2F6 | the Alexandria database | PBE-GGA | relaxed
data_LiTl3Ag2F6
_space_group_name_H-M_alt 'P -3 m 1'
_space_group_IT_number 164
_space_group_name_Hall '-P 3 2"'
_cell_length_a 6.0333
_cell_length_b 6.0333
_cell_length_c 6.2592
_cell_angle_alpha 90.00
_cell_angle_beta 90.00
_cell_angle_gamma 120.00
loop_
_atom_site_label
_atom_site_type_symbol
_atom_site_fract_x
_atom_site_fract_y
_atom_site_fract_z
_atom_site_occupancy
Li1 Li 0.0000 0.0000 0.0000 1
Tl1 Tl 0.0000 0.0000 0.5000 1
Tl2 Tl 0.3333 0.6667 0.1207 1
Ag1 Ag 0.3333 0.6667 0.5566 1
F1 F 0.1726 0.3452 0.8267 1
# Formation energy (no corrections) ... -1.652 eV per atom
# ρ ... 8.0 g/cm³
# Final energy ... -0.140 Ha/atom
# Magnetization ... 0.000 μB per atom
# Fermi-level density of states ... 0.0 states/eV/f.u.

Entry 10:
# BePb2W | the Alexandria database | PBE-GGA | relaxed
data_BePb2W
_space_group_name_H-M_alt 'A m m 2'
_space_group_IT_number 38
_space_group_name_Hall 'A 2 -2'
_cell_length_a 3.827
_cell_length_b 3.914
_cell_length_c 10.657
_cell_angle_alpha 90.00
_cell_angle_beta 90.00
_cell_angle_gamma 90.00
loop_
_atom_site_label
_atom_site_type_symbol
_atom_site_fract_x
_atom_site_fract_y
_atom_site_fract_z
_atom_site_occupancy
Be1 Be 0.000 0.000 0.000 1
Pb1 Pb 0.000 0.000 0.733 1
Pb2 Pb 0.500 0.000 0.432 1
W1 W 0.500 0.000 0.141 1
# ρ ... 12.6 g/cm³
# Final energy ... -0.196 Ha/atom
# Magnetization ... 0.000 μB per atom
# Fermi-level density of states ... 1.9 states/eV/f.u.
# Energy of formation from the pure elements ... 696 meV/atom

Entry 11:
# Tm4Mg5Tl2 | the Alexandria database | PBE-GGA | relaxed
data_Tm4Mg5Tl2
_space_group_name_H-M_alt 'P 1 2/m 1'
_space_group_IT_number 10
_space_group_name_Hall '-P 2y'
_cell_length_a 8.023
_cell_length_b 3.460
_cell_length_c 10.484
_cell_angle_alpha 90.00
_cell_angle_beta 94.08
_cell_angle_gamma 90.00
loop_
_atom_site_label
_atom_site_type_symbol
_atom_site_fract_x
_atom_site_fract_y
_atom_site_fract_z
_atom_site_occupancy
Tm1 Tm 0.158 0.000 0.391 1
Tm2 Tm 0.280 0.000 0.945 1
Mg1 Mg 0.199 0.500 0.663 1
Mg2 Mg 0.437 0.500 0.207 1
Mg3 Mg 0.500 0.500 0.500 1
Tl1 Tl 0.062 0.500 0.143 1
# ρ ... 6.9 g/cm³
# Final energy ... -0.105 Ha/atom
# Magnetization ... 0.000 μB per atom
# Fermi-level density of states ... 9.5 states/eV/f.u.
# Energy of formation from the pure elements ... -77 meV/atom

Entry 12:
# KP2S4 | the Alexandria database | PBE-GGA | relaxed
data_KP2S4
_space_group_name_H-M_alt 'I 4/m'
_space_group_IT_number 87
_space_group_name_Hall '-I 4'
_cell_length_a 8.044
_cell_length_b 8.044
_cell_length_c 5.789
_cell_angle_alpha 90.00
_cell_angle_beta 90.00
_cell_angle_gamma 90.00
loop_
_atom_site_label
_atom_site_type_symbol
_atom_site_fract_x
_atom_site_fract_y
_atom_site_fract_z
_atom_site_occupancy
K1 K 0.000 0.000 0.000 1
P1 P 0.000 0.500 0.250 1
S1 S 0.131 0.328 0.500 1
# Formation energy (no corrections) ... -0.180 eV per atom
# ρ ... 2.0 g/cm³
# Final energy ... -0.156 Ha/atom
# Magnetization ... 0.000 μB per atom
# Fermi-level density of states ... 2.3 states/eV/f.u.